No. 1
DFT (GGA-PBE) results for a geometry-optimized WSeSN2 structure.

Summary:
Polymorph energy (0 for the lowest one)   653 kJ/mol of formula units
Formation energy from raw total energies   187.5 kJ/mol of atoms
Volume   12.8 A^3/atom
DOS(E_F)   3.208 states/eV/cell

Unit cell a=3.695 b=3.695 c=4.681 alpha=90.00 beta=90.00 gamma=90.00
Fractional coordinates of all 5 atoms:
1 W 0.000 0.000 0.000
2 Se 0.500 0.500 0.000
3 S 0.500 0.500 0.500
4 N 0.000 0.500 0.500
5 N 0.500 0.000 0.500

=====

No. 2
DFT (GGA-PBE) results for a geometry-optimized RbNaTe structure.

Summary:
Formation energy from raw total energies   -88.1 kJ/mol of atoms
Volume   40.9 A^3/atom
DOS(E_F)   0.000 states/eV/cell

Unit cell a=5.223 b=5.223 c=5.199 alpha=90.00 beta=90.00 gamma=120.00
Fractional coordinates of all 3 atoms:
1 Rb 0.000 0.000 0.000
2 Na 0.667 0.333 0.500
3 Te 0.333 0.667 0.499

=====

No. 3
DFT (GGA-PBE) results for a geometry-optimized Pr2HgBiO5 structure.

Summary:
Formation energy from raw total energies   -180.9 kJ/mol of atoms
Volume   17.7 A^3/atom
DOS(E_F)   12.049 states/eV/cell

Unit cell a=6.997 b=6.997 c=6.510 alpha=90.00 beta=90.00 gamma=90.00
Fractional coordinates of all 18 atoms:
1 Pr 0.174 0.326 0.000
2 Pr 0.326 0.826 0.000
3 Pr 0.674 0.174 0.000
4 Pr 0.826 0.674 0.000
5 Hg 0.000 0.000 0.500
6 Hg 0.500 0.500 0.500
7 Bi 0.000 0.500 0.500
8 Bi 0.500 0.000 0.500
9 O 0.000 0.000 0.000
10 O 0.135 0.635 0.220
11 O 0.135 0.635 0.780
12 O 0.365 0.135 0.220
13 O 0.365 0.135 0.780
14 O 0.500 0.500 0.000
15 O 0.635 0.865 0.220
16 O 0.635 0.865 0.780
17 O 0.865 0.365 0.220
18 O 0.865 0.365 0.780

=====

No. 4
DFT (GGA-PBE) results for a geometry-optimized ZnAgPd6 structure.

Summary:
Energy of formation from the pure elements   -1.350 eV per formula unit
Polymorph energy (0 for the lowest one)   0 kJ/mol of formula units
Volume   15.5 A^3/atom
DOS(E_F)   10.492 states/eV/cell

Unit cell a=4.882 b=4.882 c=7.839 alpha=113.75 beta=113.75 gamma=47.46
Fractional coordinates of all 8 atoms:
1 Zn 0.000 0.000 0.000
2 Ag 0.000 0.000 0.500
3 Pd 0.248 0.248 0.369
4 Pd 0.250 0.250 0.878
5 Pd 0.499 0.499 0.758
6 Pd 0.501 0.501 0.242
7 Pd 0.750 0.750 0.122
8 Pd 0.752 0.752 0.631

=====

No. 5
DFT (GGA-PBE) results for a geometry-optimized KPtO3 structure.

Summary:
Formation energy from raw total energies   -57.7 kJ/mol of atoms
Volume   14.9 A^3/atom
DOS(E_F)   5.867 states/eV/cell

Unit cell a=3.886 b=4.238 c=9.248 alpha=90.00 beta=102.08 gamma=90.00
Fractional coordinates of all 10 atoms:
1 K 0.175 0.250 0.352
2 K 0.825 0.750 0.648
3 Pt 0.433 0.250 0.866
4 Pt 0.567 0.750 0.134
5 O 0.063 0.750 0.127
6 O 0.327 0.250 0.652
7 O 0.453 0.750 0.906
8 O 0.547 0.250 0.094
9 O 0.673 0.750 0.348
10 O 0.937 0.250 0.873

=====

No. 6
DFT (GGA-PBE) results for a geometry-optimized Cu2I6Cl structure.

Summary:
Polymorph energy (0 for the lowest one)   0 kJ/mol of formula units
Formation energy from raw total energies   -6.5 kJ/mol of atoms
Volume   44.1 A^3/atom
DOS(E_F)   18.234 states/eV/cell

Unit cell a=10.211 b=10.211 c=7.629 alpha=90.99 beta=90.99 gamma=92.61
Fractional coordinates of all 18 atoms:
1 Cu 0.175 0.310 0.232
2 Cu 0.310 0.175 0.732
3 Cu 0.690 0.825 0.268
4 Cu 0.825 0.690 0.768
5 I 0.044 0.628 0.925
6 I 0.129 0.284 0.562
7 I 0.284 0.129 0.062
8 I 0.318 0.514 0.353
9 I 0.372 0.956 0.575
10 I 0.486 0.682 0.147
11 I 0.514 0.318 0.853
12 I 0.628 0.044 0.425
13 I 0.682 0.486 0.647
14 I 0.716 0.871 0.938
15 I 0.871 0.716 0.438
16 I 0.956 0.372 0.075
17 Cl 0.218 0.782 0.750
18 Cl 0.782 0.218 0.250

=====

No. 7
DFT (GGA-PBE) results for a geometry-optimized UVH structure.

Summary:
Polymorph energy (0 for the lowest one)   0 kJ/mol of formula units
Volume   12.8 A^3/atom
DOS(E_F)   5.516 states/eV/cell

Unit cell a=2.875 b=2.875 c=5.381 alpha=90.00 beta=90.00 gamma=120.00
Fractional coordinates of all 3 atoms:
1 U 0.000 0.000 0.000
2 V 0.667 0.333 0.477
3 H 0.333 0.667 0.662

=====

No. 8
DFT (GGA-PBE) results for a geometry-optimized Tl3Pb4 structure.

Summary:
Energy of formation from the pure elements   0.630 eV per formula unit
Polymorph energy (0 for the lowest one)   73 kJ/mol of formula units
Volume   31.9 A^3/atom
DOS(E_F)   3.701 states/eV/cell

Unit cell a=6.370 b=6.370 c=6.363 alpha=90.00 beta=90.00 gamma=120.00
Fractional coordinates of all 7 atoms:
1 Tl 0.000 0.500 0.000
2 Tl 0.500 0.000 0.000
3 Tl 0.500 0.500 0.000
4 Pb 0.000 0.000 0.255
5 Pb 0.000 0.000 0.745
6 Pb 0.333 0.667 0.500
7 Pb 0.667 0.333 0.500

=====

No. 9
DFT (GGA-PBE) results for a geometry-optimized NiMo2Os structure.

Summary:
Energy of formation from the pure elements   0.774 eV per formula unit
Polymorph energy (0 for the lowest one)   79 kJ/mol of formula units
Volume   14.5 A^3/atom
DOS(E_F)   3.025 states/eV/cell

Unit cell a=9.149 b=9.149 c=9.149 alpha=17.15 beta=17.15 gamma=17.15
Fractional coordinates of all 4 atoms:
1 Ni 0.000 0.000 0.000
2 Mo 0.254 0.254 0.254
3 Mo 0.495 0.495 0.495
4 Os 0.747 0.747 0.747

=====

No. 10
DFT (GGA-PBE) results for a geometry-optimized Rb2LiSnCl structure.

Summary:
Formation energy from raw total energies   -58.9 kJ/mol of atoms
Volume   39.4 A^3/atom
DOS(E_F)   4.544 states/eV/cell

Unit cell a=6.592 b=6.592 c=4.534 alpha=90.00 beta=90.00 gamma=90.00
Fractional coordinates of all 5 atoms:
1 Rb 0.000 0.500 0.000
2 Rb 0.500 0.000 0.000
3 Li 0.000 0.000 0.500
4 Sn 0.500 0.500 0.500
5 Cl 0.000 0.000 0.000

=====

No. 11
DFT (GGA-PBE) results for a geometry-optimized SmAl3Cu3 structure.

Summary:
Energy of formation from the pure elements   -2.294 eV per formula unit
Volume   16.8 A^3/atom
DOS(E_F)   4.237 states/eV/cell

Unit cell a=6.790 b=4.150 c=8.905 alpha=90.00 beta=110.33 gamma=90.00
Fractional coordinates of all 14 atoms:
1 Sm 0.116 0.250 0.246
2 Sm 0.884 0.750 0.754
3 Al 0.233 0.250 0.929
4 Al 0.404 0.750 0.805
5 Al 0.489 0.250 0.611
6 Al 0.511 0.750 0.389
7 Al 0.596 0.250 0.195
8 Al 0.767 0.750 0.071
9 Cu 0.134 0.250 0.632
10 Cu 0.246 0.750 0.515
11 Cu 0.350 0.750 0.084
12 Cu 0.650 0.250 0.916
13 Cu 0.754 0.250 0.485
14 Cu 0.866 0.750 0.368

=====

No. 12
DFT (GGA-PBE) results for a geometry-optimized Ce5PmRu4 structure.

Summary:
Energy of formation from the pure elements   -1.635 eV per formula unit
Volume   26.1 A^3/atom
DOS(E_F)   35.979 states/eV/cell

Unit cell a=7.978 b=9.640 c=6.796 alpha=90.00 beta=90.00 gamma=90.00
Fractional coordinates of all 20 atoms:
1 Ce 0.017 0.061 0.222
2 Ce 0.017 0.439 0.222
3 Ce 0.250 0.750 0.392
4 Ce 0.483 0.061 0.222
5 Ce 0.483 0.439 0.222
6 Ce 0.517 0.561 0.778
7 Ce 0.517 0.939 0.778
8 Ce 0.750 0.250 0.608
9 Ce 0.983 0.561 0.778
10 Ce 0.983 0.939 0.778
11 Pm 0.250 0.250 0.739
12 Pm 0.750 0.750 0.261
13 Ru 0.073 0.750 0.003
14 Ru 0.250 0.501 0.484
15 Ru 0.250 0.999 0.484
16 Ru 0.427 0.750 0.003
17 Ru 0.573 0.250 0.997
18 Ru 0.750 0.001 0.516
19 Ru 0.750 0.499 0.516
20 Ru 0.927 0.250 0.997

=====

> What is the formula in the seventh record?

UVH